# MgFeHg2F (GGA+U, optimized geometry)
data_MgFeHg2F
_chemical_formula_sum 'Mg1 Fe1 Hg2 F1'
_cell_length_a 5.559
_cell_length_b 5.559
_cell_length_c 3.809
_cell_angle_alpha 90.00
_cell_angle_beta 90.00
_cell_angle_gamma 90.00
_space_group_name_H-M_alt 'P 4/m m m'
_space_group_IT_number 123
_space_group_name_Hall '-P 4 2'
loop_
_atom_site_label
_atom_site_fract_x
_atom_site_fract_y
_atom_site_fract_z
_atom_site_occupancy
Mg1 0.000 0.000 0.000 1
Fe1 0.500 0.500 0.000 1
Hg1 0.000 0.500 0.500 1
F1 0.500 0.500 0.500 1
# Density (kg/m³): 7058
# VASP energy (eV/atom): -2.26